No. 1
# La12Sm5Tm | the Alexandria database | PBE | relaxed
data_La12Sm5Tm
_chemical_formula_sum 'La12 Sm5 Tm1'
_cell_length_a 11.059
_cell_length_b 11.059
_cell_length_c 6.407
_cell_angle_alpha 106.53
_cell_angle_beta 106.53
_cell_angle_gamma 59.74
_symmetry_space_group_name_H-M 'P 1'
_symmetry_Int_Tables_number 1
loop_
_symmetry_equiv_pos_as_xyz
'x,y,z'
loop_
_atom_site_label
_atom_site_fract_x
_atom_site_fract_y
_atom_site_fract_z
La1 0.003 0.664 0.167
La2 0.164 0.503 0.667
La3 0.168 0.832 0.000
La4 0.329 0.671 0.500
La5 0.336 0.997 0.833
La6 0.497 0.836 0.333
La7 0.503 0.164 0.667
La8 0.664 0.003 0.167
La9 0.671 0.329 0.500
La10 0.832 0.168 0.000
La11 0.836 0.497 0.333
La12 0.997 0.336 0.833
Sm1 0.166 0.166 0.335
Sm2 0.333 0.333 0.168
Sm3 0.500 0.500 0.000
Sm4 0.667 0.667 0.832
Sm5 0.834 0.834 0.665
Tm1 0.000 0.000 0.500
# calculated volume	639	Å³/cell
# ΔH_f (0 K)	0.019	eV/atom
# final energy	-0.3547	Ry per atom
# M_tot	0.00	μB per atom

=====

No. 2
# KCdAu | the Alexandria database | PBE | relaxed
data_KCdAu
_chemical_formula_sum 'K2 Cd2 Au2'
_cell_length_a 3.795
_cell_length_b 3.871
_cell_length_c 11.990
_cell_angle_alpha 90.00
_cell_angle_beta 90.00
_cell_angle_gamma 90.00
_symmetry_space_group_name_H-M 'P 1'
_symmetry_Int_Tables_number 1
loop_
_symmetry_equiv_pos_as_xyz
'x,y,z'
loop_
_atom_site_label
_atom_site_fract_x
_atom_site_fract_y
_atom_site_fract_z
K1 0.000 0.000 0.000
K2 0.500 0.500 0.500
Cd1 0.000 0.000 0.283
Cd2 0.500 0.500 0.783
Au1 0.000 0.000 0.701
Au2 0.500 0.500 0.201
# calculated volume	176	Å³/cell
# ΔH_f (0 K)	-0.183	eV/atom
# final energy	-0.1431	Ry per atom
# M_tot	0.00	μB per atom

=====

No. 3
# Rb2PrAs2O6 | the Alexandria database | PBE | relaxed
data_Rb2PrAs2O6
_chemical_formula_sum 'Rb2 Pr1 As2 O6'
_cell_length_a 6.057
_cell_length_b 6.057
_cell_length_c 7.568
_cell_angle_alpha 112.57
_cell_angle_beta 112.57
_cell_angle_gamma 61.29
_symmetry_space_group_name_H-M 'P 1'
_symmetry_Int_Tables_number 1
loop_
_symmetry_equiv_pos_as_xyz
'x,y,z'
loop_
_atom_site_label
_atom_site_fract_x
_atom_site_fract_y
_atom_site_fract_z
Rb1 0.215 0.215 0.189
Rb2 0.785 0.785 0.811
Pr1 0.000 0.000 0.500
As1 0.435 0.435 0.784
As2 0.565 0.565 0.216
O1 0.253 0.253 0.608
O2 0.253 0.710 0.261
O3 0.290 0.747 0.739
O4 0.710 0.253 0.261
O5 0.747 0.290 0.739
O6 0.747 0.747 0.392
# ΔE_f (raw)	-1.880	eV/atom
# calculated volume	218	Å³/cell
# final energy	-0.4439	Ry per atom
# M_tot	0.09	μB per atom

=====

No. 4
# Pm2ZnGePb | the Alexandria database | PBE | relaxed
data_Pm2ZnGePb
_chemical_formula_sum 'Pm4 Zn2 Ge2 Pb2'
_cell_length_a 7.576
_cell_length_b 4.558
_cell_length_c 7.759
_cell_angle_alpha 90.00
_cell_angle_beta 90.04
_cell_angle_gamma 90.00
_symmetry_space_group_name_H-M 'P 1'
_symmetry_Int_Tables_number 1
loop_
_symmetry_equiv_pos_as_xyz
'x,y,z'
loop_
_atom_site_label
_atom_site_fract_x
_atom_site_fract_y
_atom_site_fract_z
Pm1 0.006 0.250 0.218
Pm2 0.494 0.250 0.217
Pm3 0.506 0.750 0.783
Pm4 0.994 0.750 0.782
Zn1 0.252 0.750 0.404
Zn2 0.748 0.250 0.596
Ge1 0.250 0.750 0.084
Ge2 0.750 0.250 0.916
Pb1 0.250 0.250 0.604
Pb2 0.750 0.750 0.396
# calculated volume	268	Å³/cell
# ΔH_f (0 K)	-0.556	eV/atom
# final energy	-0.3217	Ry per atom
# M_tot	0.00	μB per atom

=====

No. 5
# Hf2AlCu | the Alexandria database | PBE | relaxed
data_Hf2AlCu
_chemical_formula_sum 'Hf4 Al2 Cu2'
_cell_length_a 4.142
_cell_length_b 3.283
_cell_length_c 10.733
_cell_angle_alpha 90.00
_cell_angle_beta 90.00
_cell_angle_gamma 90.00
_symmetry_space_group_name_H-M 'P 1'
_symmetry_Int_Tables_number 1
loop_
_symmetry_equiv_pos_as_xyz
'x,y,z'
loop_
_atom_site_label
_atom_site_fract_x
_atom_site_fract_y
_atom_site_fract_z
Hf1 0.000 0.000 0.000
Hf2 0.000 0.500 0.500
Hf3 0.500 0.000 0.330
Hf4 0.500 0.500 0.830
Al1 0.000 0.000 0.729
Al2 0.000 0.500 0.229
Cu1 0.500 0.000 0.594
Cu2 0.500 0.500 0.094
# calculated volume	146	Å³/cell
# ΔH_f (0 K)	-0.250	eV/atom
# final energy	-0.5282	Ry per atom
# M_tot	0.00	μB per atom

=====

No. 6
# Sr4TlCd3 | the Alexandria database | PBE | relaxed
data_Sr4TlCd3
_chemical_formula_sum 'Sr4 Tl1 Cd3'
_cell_length_a 4.353
_cell_length_b 5.165
_cell_length_c 12.698
_cell_angle_alpha 90.00
_cell_angle_beta 90.00
_cell_angle_gamma 90.00
_symmetry_space_group_name_H-M 'P 1'
_symmetry_Int_Tables_number 1
loop_
_symmetry_equiv_pos_as_xyz
'x,y,z'
loop_
_atom_site_label
_atom_site_fract_x
_atom_site_fract_y
_atom_site_fract_z
Sr1 0.000 0.000 0.000
Sr2 0.000 0.500 0.290
Sr3 0.500 0.000 0.498
Sr4 0.500 0.500 0.792
Tl1 0.500 0.000 0.220
Cd1 0.000 0.000 0.715
Cd2 0.000 0.500 0.575
Cd3 0.500 0.500 0.072
# calculated volume	286	Å³/cell
# ΔH_f (0 K)	-0.323	eV/atom
# final energy	-0.1325	Ry per atom
# M_tot	0.00	μB per atom